First-principles (PBE-GGA) data for crystalline BaHfHg at its relaxed geometry, as listed in OQMD via LeMat-Bulk.

Summary:
Total moment = 0.449 μB/atom
Excess energy over the best structure of this formula in the dataset = 744 meV/atom
SG = F-43m (216)

Lattice parameters (Å, degrees): 5.2772 5.2772 5.2772 60.00 60.00 60.00
With the nearest neighbours (Å) after each atom.
Fractional coordinates of all 3 atoms:
Ba: 0.0000 0.0000 0.0000  4 Hg 3.23
Hf: 0.5000 0.5000 0.5000  4 Hg 3.23
Hg: 0.2500 0.2500 0.2500  4 Ba 3.23, 4 Hf 3.23

=====

First-principles (PBE-GGA) data for crystalline KPmAg at its relaxed geometry, as listed in OQMD via LeMat-Bulk.

Summary:
Total moment = 0.146 μB/atom
Excess energy over the best structure of this formula in the dataset = 0 meV/atom
SG = F-43m (216)

Lattice parameters (Å, degrees): 5.2726 5.2726 5.2726 60.00 60.00 60.00
With the nearest neighbours (Å) after each atom.
Fractional coordinates of all 3 atoms:
K: 0.0000 0.0000 0.0000  4 Pm 3.23
Pm: 0.7500 0.7500 0.7500  4 K 3.23, 4 Ag 3.23
Ag: 0.5000 0.5000 0.5000  4 Pm 3.23

=====

First-principles (PBE-GGA) data for crystalline CuBTeOs at its relaxed geometry, as listed in OQMD via LeMat-Bulk.

Summary:
Total moment = 0.000 μB/atom
Excess energy over the best structure of this formula in the dataset = 0 meV/atom
SG = F-43m (216)

Lattice parameters (Å, degrees): 4.3399 4.3399 4.3399 60.00 60.00 60.00
With the nearest neighbours (Å) after each atom.
Fractional coordinates of all 4 atoms:
Cu: 0.0000 0.0000 0.0000  4 B 2.66, 4 Te 2.66
B: 0.7500 0.7500 0.7500  4 Os 2.66, 4 Cu 2.66
Te: 0.2500 0.2500 0.2500  4 Os 2.66, 4 Cu 2.66
Os: 0.5000 0.5000 0.5000  4 Te 2.66, 4 B 2.66

=====

First-principles (PBE-GGA) data for crystalline ZnSiTe2 at its relaxed geometry, as listed in OQMD via LeMat-Bulk.

Summary:
SG = F-43m (216)

Lattice parameters (Å, degrees): 5.0953 5.0953 5.0953 60.00 60.00 60.00
With the nearest neighbours (Å) after each atom.
Fractional coordinates of all 4 atoms:
Zn: 0.0000 0.0000 0.0000  4 Si 3.12, 4 Te 3.12
Si: 0.7500 0.7500 0.7500  4 Zn 3.12, 4 Te 3.12
Te: 0.2500 0.2500 0.2500  4 Te 3.12, 4 Zn 3.12
Te: 0.5000 0.5000 0.5000  4 Si 3.12, 4 Te 3.12

=====

| no. | total DFT energy (no corrections) (eV/atom) |
| --- | --- |
| 1 | -3.402 |
| 2 | -2.216 |
| 3 | -5.108 |
| 4 | -2.704 |